# U2TlFeO8 (PBE+U, relaxed)
data_U2TlFeO8
_cell_length_a 5.424
_cell_length_b 5.424
_cell_length_c 10.624
_cell_angle_alpha 90.00
_cell_angle_beta 90.00
_cell_angle_gamma 90.00
_space_group_name_H-M_alt 'I -4'
_space_group_IT_number 82
loop_
_space_group_symop_operation_xyz
'x,y,z'
'y,-x,-z'
'-x,-y,z'
'-y,x,-z'
'x+1/2,y+1/2,z+1/2'
'y+1/2,-x+1/2,-z+1/2'
'-x+1/2,-y+1/2,z+1/2'
'-y+1/2,x+1/2,-z+1/2'
loop_
_atom_site_label
_atom_site_type_symbol
_atom_site_fract_x
_atom_site_fract_y
_atom_site_fract_z
_atom_site_occupancy
U1 U 0.000 0.000 0.000 1
U2 U 0.000 0.500 0.250 1
Tl1 Tl 0.000 0.500 0.750 1
Fe1 Fe 0.000 0.000 0.500 1
O1 O 0.180 0.789 0.147 1
O2 O 0.192 0.754 0.406 1
# * DFT total energy: -194.33 eV for the cell shown